[1]
First-principles (PBE) data for an optimized crystal structure of Y3Zn2Ni3, as listed in Alexandria.

The structure in POSCAR format:
```
Y3Zn2Ni3
1.0
5.620 0.000 0.000
0.000 7.466 0.000
0.000 0.000 14.529
Y Zn Ni
12 8 12
Cartesian
0.834 3.424 5.755 Y
3.644 0.309 8.774 Y
4.786 4.042 13.020 Y
1.976 7.156 1.509 Y
4.786 4.042 8.774 Y
1.976 7.156 5.755 Y
0.834 3.424 1.509 Y
3.644 0.309 13.020 Y
3.440 2.373 3.632 Y
0.630 1.360 10.897 Y
2.180 5.093 10.897 Y
4.990 6.106 3.632 Y
4.841 0.822 5.768 Zn
2.031 2.911 8.761 Zn
0.779 6.643 13.032 Zn
3.589 4.555 1.497 Zn
0.779 6.643 8.761 Zn
3.589 4.555 5.768 Zn
4.841 0.822 1.497 Zn
2.031 2.911 13.032 Zn
0.568 1.303 3.632 Ni
3.378 2.429 10.897 Ni
5.052 6.162 10.897 Ni
2.242 5.036 3.632 Ni
3.264 2.328 6.714 Ni
0.454 1.405 7.815 Ni
2.356 5.138 13.978 Ni
5.166 6.060 0.551 Ni
2.356 5.138 7.815 Ni
5.166 6.060 6.714 Ni
3.264 2.328 0.551 Ni
0.454 1.405 13.978 Ni
```

Results
energy relative to the elements	-0.387	eV per atom
spin magnetization	0.00	μB/cell
total energy	-5.298	eV per atom
Fermi-level density of states	5.6	states/eV/f.u.

=====

[2]
First-principles (PBE) data for an optimized crystal structure of YZnNi3, as listed in Alexandria.

The structure in POSCAR format:
```
YZnNi3
1.0
-3.670 -1.791 -2.677
-4.279 -1.580 6.922
2.361 5.261 -2.304
Y Zn Ni
2 2 6
Cartesian
-0.959 1.732 0.155 Y
-4.629 0.158 1.786 Y
-2.139 -0.790 3.461 Zn
-1.835 -0.896 -1.339 Zn
-3.834 -1.713 -0.279 Ni
-1.999 -0.817 1.060 Ni
-3.589 2.707 0.882 Ni
-1.754 3.603 2.220 Ni
-3.743 0.703 4.661 Ni
-1.844 1.186 -2.719 Ni
```

Results
offset from the most stable computed form	0.0	meV per atom
energy relative to the elements	-0.272	eV per atom
spin magnetization	0.00	μB/cell
total energy	-5.289	eV per atom
Fermi-level density of states	3.5	states/eV/f.u.

=====

[3]
First-principles (PBE) data for an optimized crystal structure of Y2ZnNi16, as listed in Alexandria.

The structure in POSCAR format:
```
Y2ZnNi16
1.0
6.231 0.029 0.734
0.656 6.196 0.734
0.032 0.029 6.274
Y Zn Ni
2 1 16
Cartesian
4.532 4.096 5.071 Y
2.356 2.130 2.637 Y
6.264 5.662 7.010 Zn
5.050 6.224 3.112 Ni
6.447 1.887 5.367 Ni
2.342 4.398 7.008 Ni
6.701 4.398 3.112 Ni
4.611 1.887 7.008 Ni
2.526 6.224 5.367 Ni
2.712 5.257 3.035 Ni
5.503 2.169 3.035 Ni
2.399 2.169 5.808 Ni
4.199 0.992 4.699 Ni
1.410 4.077 4.699 Ni
4.511 4.077 1.928 Ni
0.331 3.086 0.370 Ni
3.104 0.018 0.370 Ni
0.020 0.018 3.126 Ni
0.707 0.639 0.791 Ni
```

Results
energy relative to the elements	-0.220	eV per atom
spin magnetization	5.45	μB/cell
total energy	-5.836	eV per atom
Fermi-level density of states	24.5	states/eV/f.u.